Model i:
# MgTi2HRh PBE optimized geometry
# - calculated volume (Å³ per atom) = 13.3
# - M_tot (μB/cell) = 0.0
# - theoretical density (g/cm3) = 5.6
data_MgTi2HRh
_space_group_name_H-M_alt 'P 4/m m m'
_space_group_IT_number 123
_space_group_name_Hall '-P 4 2'
_cell_length_a 3.9347
_cell_length_b 3.9347
_cell_length_c 4.2855
_cell_angle_alpha 90.00
_cell_angle_beta 90.00
_cell_angle_gamma 90.00
loop_
_atom_site_label
_atom_site_type_symbol
_atom_site_fract_x
_atom_site_fract_y
_atom_site_fract_z
Mg1 Mg 0.0000 0.0000 0.0000
Ti1 Ti 0.0000 0.5000 0.5000
H1 H 0.0000 0.0000 0.5000
Rh1 Rh 0.5000 0.5000 0.0000

***

Model ii:
# MgTi2HRh PBE optimized geometry
# - calculated volume (Å³ per atom) = 13.4
# - M_tot (μB/cell) = 0.0
# - theoretical density (g/cm3) = 5.6
data_MgTi2HRh
_space_group_name_H-M_alt 'P 4/m m m'
_space_group_IT_number 123
_space_group_name_Hall '-P 4 2'
_cell_length_a 4.0527
_cell_length_b 4.0527
_cell_length_c 4.0774
_cell_angle_alpha 90.00
_cell_angle_beta 90.00
_cell_angle_gamma 90.00
loop_
_atom_site_label
_atom_site_type_symbol
_atom_site_fract_x
_atom_site_fract_y
_atom_site_fract_z
Mg1 Mg 0.0000 0.0000 0.0000
Ti1 Ti 0.0000 0.5000 0.5000
H1 H 0.5000 0.5000 0.5000
Rh1 Rh 0.5000 0.5000 0.0000

***

So which one is most stable? That would be model i, about 0.022 eV/atom below the next structure.

***

Model i:
# MgZr2HRh PBE optimized geometry
# - calculated volume (Å³ per atom) = 15.7
# - M_tot (μB/cell) = 0.0
# - theoretical density (g/cm3) = 6.6
data_MgZr2HRh
_space_group_name_H-M_alt 'P 4/m m m'
_space_group_IT_number 123
_space_group_name_Hall '-P 4 2'
_cell_length_a 4.3177
_cell_length_b 4.3177
_cell_length_c 4.2087
_cell_angle_alpha 90.00
_cell_angle_beta 90.00
_cell_angle_gamma 90.00
loop_
_atom_site_label
_atom_site_type_symbol
_atom_site_fract_x
_atom_site_fract_y
_atom_site_fract_z
Mg1 Mg 0.0000 0.0000 0.0000
Zr1 Zr 0.0000 0.5000 0.5000
H1 H 0.0000 0.0000 0.5000
Rh1 Rh 0.5000 0.5000 0.0000

***

Model ii:
# MgZr2HRh PBE optimized geometry
# - calculated volume (Å³ per atom) = 15.9
# - M_tot (μB/cell) = 0.0
# - theoretical density (g/cm3) = 6.5
data_MgZr2HRh
_space_group_name_H-M_alt 'P 4/m m m'
_space_group_IT_number 123
_space_group_name_Hall '-P 4 2'
_cell_length_a 4.5188
_cell_length_b 4.5188
_cell_length_c 3.9005
_cell_angle_alpha 90.00
_cell_angle_beta 90.00
_cell_angle_gamma 90.00
loop_
_atom_site_label
_atom_site_type_symbol
_atom_site_fract_x
_atom_site_fract_y
_atom_site_fract_z
Mg1 Mg 0.0000 0.0000 0.0000
Zr1 Zr 0.0000 0.5000 0.5000
H1 H 0.5000 0.5000 0.5000
Rh1 Rh 0.5000 0.5000 0.0000

***

So which one is most stable? That would be model i, about 0.008 eV/atom below the next structure.

***

Model i:
# Mg2H5Ru PBE optimized geometry
# - calculated volume (Å³ per atom) = 8.9
# - M_tot (μB/cell) = 0.0
# - theoretical density (g/cm3) = 3.6
data_Mg2H5Ru
_space_group_name_H-M_alt 'I 4 m m'
_space_group_IT_number 107
_space_group_name_Hall 'I 4 -2'
_cell_length_a 4.7116
_cell_length_b 4.7116
_cell_length_c 6.3975
_cell_angle_alpha 90.00
_cell_angle_beta 90.00
_cell_angle_gamma 90.00
loop_
_atom_site_label
_atom_site_type_symbol
_atom_site_fract_x
_atom_site_fract_y
_atom_site_fract_z
Mg1 Mg 0.0000 0.5000 0.0000
H1 H 0.0000 0.0000 0.4887
H2 H 0.2461 0.2461 0.2527
Ru1 Ru 0.0000 0.0000 0.7423

***

Model ii:
# Mg2H5Ru PBE optimized geometry
# - calculated volume (Å³ per atom) = 9.7
# - M_tot (μB/cell) = 0.0
# - theoretical density (g/cm3) = 3.3
data_Mg2H5Ru
_space_group_name_H-M_alt 'C m c m'
_space_group_IT_number 63
_space_group_name_Hall '-C 2c 2'
_cell_length_a 3.9996
_cell_length_b 9.0300
_cell_length_c 8.5690
_cell_angle_alpha 90.00
_cell_angle_beta 90.00
_cell_angle_gamma 90.00
loop_
_atom_site_label
_atom_site_type_symbol
_atom_site_fract_x
_atom_site_fract_y
_atom_site_fract_z
Mg1 Mg 0.0000 0.1567 0.0827
H1 H 0.0000 0.0589 0.6192
H2 H 0.0000 0.3198 0.2500
H3 H 0.0000 0.3396 0.6126
Ru1 Ru 0.0000 0.2020 0.7500

***

So which one is most stable? That would be model i, about 0.068 eV/atom below the next structure.

***

Model i:
# MgHRu3 PBE optimized geometry
# - calculated volume (Å³ per atom) = 12.2
# - M_tot (μB/cell) = 1.9
# - theoretical density (g/cm3) = 8.9
data_MgHRu3
_space_group_name_H-M_alt 'P m -3 m'
_space_group_IT_number 221
_space_group_name_Hall '-P 4 2 3'
_cell_length_a 3.9417
_cell_length_b 3.9417
_cell_length_c 3.9417
_cell_angle_alpha 90.00
_cell_angle_beta 90.00
_cell_angle_gamma 90.00
loop_
_atom_site_label
_atom_site_type_symbol
_atom_site_fract_x
_atom_site_fract_y
_atom_site_fract_z
Mg1 Mg 0.0000 0.0000 0.0000
H1 H 0.5000 0.5000 0.5000
Ru1 Ru 0.0000 0.5000 0.5000

***

Model ii:
# MgHRu3 PBE optimized geometry
# - calculated volume (Å³ per atom) = 20.1
# - M_tot (μB/cell) = 6.7
# - theoretical density (g/cm3) = 5.4
data_MgHRu3
_space_group_name_H-M_alt 'P m -3 m'
_space_group_IT_number 221
_space_group_name_Hall '-P 4 2 3'
_cell_length_a 4.6474
_cell_length_b 4.6474
_cell_length_c 4.6474
_cell_angle_alpha 90.00
_cell_angle_beta 90.00
_cell_angle_gamma 90.00
loop_
_atom_site_label
_atom_site_type_symbol
_atom_site_fract_x
_atom_site_fract_y
_atom_site_fract_z
Mg1 Mg 0.0000 0.0000 0.0000
H1 H 0.5000 0.5000 0.5000
Ru1 Ru 0.0000 0.0000 0.5000

***

So which one is most stable? That would be model i, about 2.320 eV/atom below the next structure.

***

Model i:
# MgHRu2 PBE optimized geometry
# - calculated volume (Å³ per atom) = 14.3
# - M_tot (μB/cell) = 0.0
# - theoretical density (g/cm3) = 6.6
data_MgHRu2
_space_group_name_H-M_alt 'I 41/a m d'
_space_group_IT_number 141
_cell_length_a 4.9898
_cell_length_b 4.9898
_cell_length_c 9.1579
_cell_angle_alpha 90.00
_cell_angle_beta 90.00
_cell_angle_gamma 90.00
loop_
_space_group_symop_operation_xyz
'x,y,z'
'-x,-y,-z'
'-y+1/4,x+3/4,z+1/4'
'y+1/4,-x+3/4,-z+1/4'
'-x+1/2,-y,z+1/2'
'x+1/2,y,-z+1/2'
'y+1/4,-x+1/4,z+3/4'
'-y+1/4,x+1/4,-z+3/4'
'x,-y,-z'
'-x,y,z'
'-y+1/4,-x+1/4,-z+3/4'
'y+1/4,x+1/4,z+3/4'
'-x+1/2,y,-z+1/2'
'x+1/2,-y,z+1/2'
'y+1/4,x+3/4,-z+1/4'
'-y+1/4,-x+3/4,z+1/4'
'x+1/2,y+1/2,z+1/2'
'-x+1/2,-y+1/2,-z+1/2'
'-y+3/4,x+1/4,z+3/4'
'y+3/4,-x+1/4,-z+3/4'
'-x,-y+1/2,z'
'x,y+1/2,-z'
'y+3/4,-x+3/4,z+1/4'
'-y+3/4,x+3/4,-z+1/4'
'x+1/2,-y+1/2,-z+1/2'
'-x+1/2,y+1/2,z+1/2'
'-y+3/4,-x+3/4,-z+1/4'
'y+3/4,x+3/4,z+1/4'
'-x,y+1/2,-z'
'x,-y+1/2,z'
'y+3/4,x+1/4,-z+3/4'
'-y+3/4,-x+1/4,z+3/4'
loop_
_atom_site_label
_atom_site_type_symbol
_atom_site_fract_x
_atom_site_fract_y
_atom_site_fract_z
Mg1 Mg 0.0000 0.2500 0.3750
H1 H 0.0000 0.2500 0.8750
Ru1 Ru 0.0000 0.0000 0.0000

***

Model ii:
# MgHRu2 PBE optimized geometry
# - calculated volume (Å³ per atom) = 12.6
# - M_tot (μB/cell) = 0.0
# - theoretical density (g/cm3) = 7.5
data_MgHRu2
_space_group_name_H-M_alt 'F m -3 m'
_space_group_IT_number 225
_space_group_name_Hall '-F 4 2 3'
_cell_length_a 5.8622
_cell_length_b 5.8622
_cell_length_c 5.8622
_cell_angle_alpha 90.00
_cell_angle_beta 90.00
_cell_angle_gamma 90.00
loop_
_atom_site_label
_atom_site_type_symbol
_atom_site_fract_x
_atom_site_fract_y
_atom_site_fract_z
Mg1 Mg 0.0000 0.0000 0.0000
H1 H 0.0000 0.0000 0.5000
Ru1 Ru 0.2500 0.2500 0.2500

***

So which one is most stable? That would be model i, about 0.572 eV/atom below the next structure.

***

Model i:
# MgH4Ru PBE optimized geometry
# - calculated volume (Å³ per atom) = 8.6
# - M_tot (μB/cell) = 0.0
# - theoretical density (g/cm3) = 4.1
data_MgH4Ru
_space_group_name_H-M_alt 'P 1'
_space_group_IT_number 1
_cell_length_a 4.5491
_cell_length_b 4.5612
_cell_length_c 5.5197
_cell_angle_alpha 94.32
_cell_angle_beta 94.06
_cell_angle_gamma 113.87
loop_
_space_group_symop_operation_xyz
'x,y,z'
loop_
_atom_site_label
_atom_site_type_symbol
_atom_site_fract_x
_atom_site_fract_y
_atom_site_fract_z
Mg1 Mg 0.0000 0.0000 0.0000
Mg2 Mg 0.2357 0.7675 0.4991
H1 H 0.0222 0.6301 0.8028
H2 H 0.2186 0.1426 0.6955
H3 H 0.3780 0.9842 0.1943
H4 H 0.4626 0.5260 0.0067
H5 H 0.5503 0.5847 0.5209
H6 H 0.7624 0.2291 0.5059
H7 H 0.8240 0.3204 0.0206
H8 H 0.8638 0.7868 0.3037
Ru1 Ru 0.6193 0.3862 0.2563
Ru2 Ru 0.6213 0.3843 0.7565

***

Model ii:
# MgH4Ru PBE optimized geometry
# - calculated volume (Å³ per atom) = 7.7
# - M_tot (μB/cell) = 0.0
# - theoretical density (g/cm3) = 4.7
data_MgH4Ru
_space_group_name_H-M_alt 'P 1 21/c 1'
_space_group_IT_number 14
_cell_length_a 4.7573
_cell_length_b 4.1357
_cell_length_c 4.9519
_cell_angle_alpha 90.00
_cell_angle_beta 109.40
_cell_angle_gamma 90.00
loop_
_space_group_symop_operation_xyz
'x,y,z'
'-x,-y,-z'
'-x,y+1/2,-z+1/2'
'x,-y+1/2,z+1/2'
loop_
_atom_site_label
_atom_site_type_symbol
_atom_site_fract_x
_atom_site_fract_y
_atom_site_fract_z
Mg1 Mg 0.0000 0.0000 0.0000
H1 H 0.1353 0.0844 0.3997
H2 H 0.3785 0.6625 0.2735
Ru1 Ru 0.5000 0.0000 0.5000

***

So which one is most stable? That would be model ii, about 0.056 eV/atom below the next structure.